! CoNiP2O8 (GGA+U, relaxed); values from VASP
! * total DFT energy (no corrections): -6.4360 eV per atom
! * total magnetic moment: 0.420 μB per atom
! * SG: P2_1/m (11)
! * E above lowest polymorph: 0 meV per atom
! * crystal system: monoclinic
! * ρ: 3.733 Mg/m³
&SYSTEM
  ibrav = 0, nat = 24, ntyp = 4
/
ATOMIC_SPECIES
Co 58.93 Co.upf
Ni 58.69 Ni.upf
P 30.97 P.upf
O 16.00 O.upf
ATOMIC_POSITIONS crystal
Co 0.068 0.250 0.280
Co 0.932 0.750 0.720
Ni 0.436 0.250 0.775
Ni 0.564 0.750 0.225
P 0.096 0.750 0.408
P 0.384 0.750 0.904
P 0.616 0.250 0.096
P 0.904 0.250 0.592
O 0.173 0.750 0.560
O 0.219 0.250 0.608
O 0.231 0.543 0.832
O 0.231 0.957 0.832
O 0.243 0.540 0.335
O 0.243 0.960 0.335
O 0.298 0.250 0.120
O 0.337 0.750 0.057
O 0.663 0.250 0.943
O 0.702 0.750 0.880
O 0.757 0.040 0.665
O 0.757 0.460 0.665
O 0.769 0.043 0.168
O 0.769 0.457 0.168
O 0.781 0.750 0.392
O 0.827 0.250 0.440
CELL_PARAMETERS angstrom
4.790 0.000 0.000
0.000 5.793 0.000
-0.039 0.000 9.861



! CoNi2P2O8 (GGA+U, relaxed); values from VASP
! * total DFT energy (no corrections): -6.4466 eV per atom
! * total magnetic moment: 0.539 μB per atom
! * SG: P2_1 (4)
! * crystal system: monoclinic
! * ρ: 4.181 Mg/m³
&SYSTEM
  ibrav = 0, nat = 26, ntyp = 4
/
ATOMIC_SPECIES
Co 58.93 Co.upf
Ni 58.69 Ni.upf
P 30.97 P.upf
O 16.00 O.upf
ATOMIC_POSITIONS crystal
Co 0.238 0.000 0.025
Co 0.762 0.500 0.975
Ni 0.241 0.530 0.525
Ni 0.498 0.517 0.252
Ni 0.502 0.017 0.748
Ni 0.759 0.030 0.475
P 0.252 0.094 0.347
P 0.258 0.441 0.844
P 0.742 0.941 0.156
P 0.748 0.594 0.653
O 0.055 0.213 0.426
O 0.062 0.328 0.927
O 0.255 0.207 0.206
O 0.255 0.326 0.703
O 0.270 0.771 0.354
O 0.275 0.764 0.851
O 0.466 0.251 0.413
O 0.470 0.284 0.908
O 0.530 0.784 0.092
O 0.534 0.751 0.587
O 0.725 0.264 0.149
O 0.730 0.271 0.646
O 0.745 0.707 0.794
O 0.745 0.826 0.297
O 0.938 0.828 0.073
O 0.945 0.713 0.574
CELL_PARAMETERS angstrom
5.944 0.000 0.000
0.000 4.759 0.000
-0.135 0.000 10.283



! Co2Ni3SbP6O24 (GGA+U, relaxed); values from VASP
! * total DFT energy (no corrections): -6.4405 eV per atom
! * total magnetic moment: 0.246 μB per atom
! * SG: R3 (146)
! * crystal system: trigonal
! * ρ: 3.739 Mg/m³
&SYSTEM
  ibrav = 0, nat = 36, ntyp = 5
/
ATOMIC_SPECIES
Co 58.93 Co.upf
Ni 58.69 Ni.upf
Sb 121.76 Sb.upf
P 30.97 P.upf
O 16.00 O.upf
ATOMIC_POSITIONS crystal
Co 0.000 0.000 0.000
Co 0.495 0.495 0.495
Ni 0.140 0.140 0.140
Ni 0.353 0.353 0.353
Ni 0.637 0.637 0.637
Sb 0.852 0.852 0.852
P 0.045 0.742 0.443
P 0.251 0.539 0.946
P 0.443 0.045 0.742
P 0.539 0.946 0.251
P 0.742 0.443 0.045
P 0.946 0.251 0.539
O 0.003 0.819 0.602
O 0.061 0.900 0.243
O 0.086 0.750 0.933
O 0.098 0.318 0.510
O 0.171 0.392 0.987
O 0.243 0.061 0.900
O 0.248 0.596 0.434
O 0.318 0.510 0.098
O 0.392 0.987 0.171
O 0.394 0.565 0.740
O 0.434 0.248 0.596
O 0.491 0.892 0.668
O 0.510 0.098 0.318
O 0.565 0.740 0.394
O 0.596 0.434 0.248
O 0.602 0.003 0.819
O 0.668 0.491 0.892
O 0.740 0.394 0.565
O 0.750 0.933 0.086
O 0.819 0.602 0.003
O 0.892 0.668 0.491
O 0.900 0.243 0.061
O 0.933 0.086 0.750
O 0.987 0.171 0.392
CELL_PARAMETERS angstrom
4.326 2.497 6.753
-4.326 2.497 6.753
0.000 -4.995 6.753